# 1
Below is an optimized crystal structure of Cu7Ag3, with properties calculated at the GGA-PBE level.

## Properties
The total energy comes out at -3.37 eV/atom. Its energy above the most stable polymorph in this dataset is 33 meV per atom.

Cell: 8.9008 8.9008 5.6692 Å, 99.25 99.25 17.95°
With the nearest neighbours (Å) after each atom.
Element x y z (fractional)
Cu 0.0000 0.0000 0.0000  10 Cu 2.51-2.78
Cu 0.1985 0.1985 0.0927  8 Cu 2.54-2.78, 3 Ag 2.73-2.75
Cu 0.4012 0.4012 0.7284  7 Cu 2.50-2.78, 4 Ag 2.69-2.71
Cu 0.4029 0.4029 0.1707  7 Cu 2.50-2.78, 4 Ag 2.67-2.70
Cu 0.5971 0.5971 0.8293  7 Cu 2.50-2.78, 4 Ag 2.67-2.70
Cu 0.5988 0.5988 0.2716  7 Cu 2.50-2.78, 4 Ag 2.69-2.71
Cu 0.8015 0.8015 0.9073  8 Cu 2.54-2.78, 3 Ag 2.73-2.75
Ag 0.0000 0.0000 0.5000  10 Cu 2.70-2.83, 2 Ag 2.78
Ag 0.1931 0.1931 0.6043  8 Cu 2.67-2.92, 4 Ag 2.78-2.85
Ag 0.8069 0.8069 0.3957  8 Cu 2.67-2.92, 4 Ag 2.78-2.85



# 2
Below is an optimized crystal structure of CsTbSm, with properties calculated at the GGA-PBE level.

## Properties
The total energy comes out at -2.15 eV/atom.

Cell: 8.6488 8.6488 8.6488 Å, 90.00 90.00 90.00°
With the nearest neighbours (Å) after each atom.
Element x y z (fractional)
Cs 0.0000 0.0000 0.0000  4 Sm 3.75
Cs 0.0000 0.5000 0.5000  4 Sm 3.75
Cs 0.5000 0.0000 0.5000  4 Sm 3.75
Cs 0.5000 0.5000 0.0000  4 Sm 3.75
Tb 0.0000 0.0000 0.5000  4 Sm 3.75
Tb 0.0000 0.5000 0.0000  4 Sm 3.75
Tb 0.5000 0.0000 0.0000  4 Sm 3.75
Tb 0.5000 0.5000 0.5000  4 Sm 3.75
Sm 0.2500 0.2500 0.2500  4 Tb 3.75, 4 Cs 3.75
Sm 0.2500 0.7500 0.7500  4 Tb 3.75, 4 Cs 3.75
Sm 0.7500 0.2500 0.7500  4 Tb 3.75, 4 Cs 3.75
Sm 0.7500 0.7500 0.2500  4 Tb 3.75, 4 Cs 3.75



# 3
Below is an optimized crystal structure of Cu9Ag, with properties calculated at the GGA-PBE level.

## Properties
The total energy comes out at -3.59 eV/atom. Its energy above the most stable polymorph in this dataset is 3 meV per atom.

Cell: 5.8081 5.8081 3.6721 Å, 90.00 90.00 90.00°
With the nearest neighbours (Å) after each atom.
Element x y z (fractional)
Cu 0.0000 0.0000 0.0000  12 Cu 2.55-2.57
Cu 0.0923 0.7038 0.5000  11 Cu 2.53-2.62, 1 Ag 2.65
Cu 0.1893 0.3958 0.0000  10 Cu 2.51-2.69, 2 Ag 2.64
Cu 0.2962 0.0923 0.5000  11 Cu 2.53-2.62, 1 Ag 2.65
Cu 0.3958 0.8107 0.0000  10 Cu 2.51-2.69, 2 Ag 2.64
Cu 0.6042 0.1893 0.0000  10 Cu 2.51-2.69, 2 Ag 2.64
Cu 0.7038 0.9077 0.5000  11 Cu 2.53-2.62, 1 Ag 2.65
Cu 0.8107 0.6042 0.0000  10 Cu 2.51-2.69, 2 Ag 2.64
Cu 0.9077 0.2962 0.5000  11 Cu 2.53-2.62, 1 Ag 2.65
Ag 0.5000 0.5000 0.5000  12 Cu 2.64-2.65



# 4
Below is an optimized crystal structure of Y2Tc2O5, with properties calculated at the GGA-PBE level.

## Properties
The total energy comes out at -8.42 eV/atom. Its energy above the most stable polymorph in this dataset is 0 meV per atom.

Cell: 3.9736 3.9736 6.7458 Å, 90.00 90.00 90.00°
With the nearest neighbours (Å) after each atom.
Element x y z (fractional)
Y 0.0000 0.0000 0.0000  8 O 2.53
Y 0.0000 0.0000 0.5000  12 O 2.68-2.81
Tc 0.5000 0.5000 0.1736  5 O 2.03-2.20
Tc 0.5000 0.5000 0.8264  5 O 2.03-2.20
O 0.0000 0.5000 0.2332  2 Tc 2.03
O 0.0000 0.5000 0.7668  2 Tc 2.03
O 0.5000 0.0000 0.2332  2 Tc 2.03
O 0.5000 0.0000 0.7668  2 Tc 2.03
O 0.5000 0.5000 0.5000  2 Tc 2.20



# 5
Below is an optimized crystal structure of CoAg2HgSe4, with properties calculated at the GGA-PBE level.

## Properties
The total energy comes out at -3.44 eV/atom.

Cell: 8.2473 7.1722 6.9666 Å, 90.00 90.00 90.00°
With the nearest neighbours (Å) after each atom.
Element x y z (fractional)
Co 0.0000 0.1733 0.0000  4 Se 2.28-2.29
Co 0.5000 0.8267 0.5000  4 Se 2.28-2.29
Ag 0.2472 0.6685 0.9916  4 Se 2.62-2.64
Ag 0.2528 0.3315 0.4916  4 Se 2.62-2.64
Ag 0.7472 0.3315 0.4916  4 Se 2.62-2.64
Ag 0.7528 0.6685 0.9916  4 Se 2.62-2.64
Hg 0.0000 0.8545 0.4988  4 Se 2.72-2.73
Hg 0.5000 0.1455 0.9988  4 Se 2.72-2.73
Se 0.0000 0.1933 0.6733  1 Co 2.28
Se 0.0000 0.8730 0.1077  1 Co 2.28
Se 0.2244 0.3238 0.1169  1 Co 2.29
Se 0.2756 0.6762 0.6169  1 Co 2.29
Se 0.5000 0.1270 0.6077  1 Co 2.28
Se 0.5000 0.8067 0.1733  1 Co 2.28
Se 0.7244 0.6762 0.6169  1 Co 2.29
Se 0.7756 0.3238 0.1169  1 Co 2.29



# 6
Below is an optimized crystal structure of Hf3SnB, with properties calculated at the GGA-PBE level.

## Properties
The total energy comes out at -8.62 eV/atom.

Cell: 6.1264 6.1264 9.3153 Å, 90.00 90.00 146.79°
With the nearest neighbours (Å) after each atom.
Element x y z (fractional)
Hf 0.0355 0.9645 0.7500  2 B 2.37
Hf 0.3712 0.6288 0.5388  2 B 2.34
Hf 0.3712 0.6288 0.9612  2 B 2.34
Hf 0.6288 0.3712 0.0388  2 B 2.34
Hf 0.6288 0.3712 0.4612  2 B 2.34
Hf 0.9645 0.0355 0.2500  2 B 2.37
Sn 0.2503 0.7497 0.2500  8 Hf 2.99-3.06
Sn 0.7497 0.2503 0.7500  8 Hf 2.99-3.06
B 0.0000 0.0000 0.0000  6 Hf 2.34-2.37
B 0.0000 0.0000 0.5000  6 Hf 2.34-2.37